HfMnF2 | PBE+U | relaxed

Values from the calculation:
space-group type: R-3m (166)
total moment: 4.9 μB/f.u.
excess energy over the best structure of this formula in the dataset: 0 meV/atom

Cell lengths 8.8085, 8.8085, 8.8085 Å; angles 19.30, 19.30, 19.30 degrees
Site moments in Bohr magnetons follow the coordinates.
Atoms (fractional coordinates):
F (0.1068, 0.1068, 0.1068)  0.01
F (0.8932, 0.8932, 0.8932)  0.01
Hf (0.5000, 0.5000, 0.5000)  -0.02
Mn (0.0000, 0.0000, 0.0000)  4.54